A:
DFT (PBE) results for TaBe3Os after structural relaxation.

Cell lengths 4.2066, 4.2066, 4.2066 Å; angles 90.00, 90.00, 90.00 degrees
Space group Pm-3m (No. 221)
One atom of each set of equivalent atoms:
Ta1 0.0000 0.0000 0.0000 [1 per cell]
Be1 0.0000 0.0000 0.5000 [3 per cell]
Os1 0.5000 0.5000 0.5000 [1 per cell]

- V: 74 Å³/cell
- M_tot: 0.34 μB/atom

B:
DFT (PBE) results for TaBe3Os after structural relaxation.

Cell lengths 4.0690, 4.0690, 4.0690 Å; angles 90.00, 90.00, 90.00 degrees
Space group Pm-3m (No. 221)
One atom of each set of equivalent atoms:
Ta1 0.0000 0.0000 0.0000 [1 per cell]
Be1 0.0000 0.5000 0.5000 [3 per cell]
Os1 0.5000 0.5000 0.5000 [1 per cell]

- V: 67 Å³/cell
- M_tot: 0.00 μB/atom

Q: Which of them is the most stable? A: B.

A:
DFT (PBE) results for Be2TcOs after structural relaxation.

Cell lengths 3.6738, 2.8099, 8.5465 Å; angles 90.00, 90.00, 90.00 degrees
Space group Amm2 (No. 38)
One atom of each set of equivalent atoms:
Be1 0.0000 0.0000 0.0000 [2 per cell]
Be2 0.5000 0.0000 0.1359 [2 per cell]
Tc1 0.5000 0.0000 0.4082 [2 per cell]
Os1 0.0000 0.0000 0.7240 [2 per cell]

- V: 88 Å³/cell
- M_tot: 0.00 μB/atom

B:
DFT (PBE) results for Be2TcOs after structural relaxation.

Cell lengths 4.0396, 4.0396, 5.8493 Å; angles 90.00, 90.00, 90.00 degrees
Space group I-4m2 (No. 119)
One atom of each set of equivalent atoms:
Be1 0.0000 0.0000 0.0000 [2 per cell]
Be2 0.0000 0.5000 0.2500 [2 per cell]
Tc1 0.0000 0.5000 0.7500 [2 per cell]
Os1 0.0000 0.0000 0.5000 [2 per cell]

- V: 95 Å³/cell
- M_tot: 0.00 μB/atom

Q: Which of them is the most stable? A: A.

A:
DFT (PBE) results for Be2TcOs after structural relaxation.

Cell lengths 2.9687, 3.7204, 4.2941 Å; angles 90.00, 90.00, 90.00 degrees
Space group Pmmm (No. 47)
One atom of each set of equivalent atoms:
Be1 0.0000 0.0000 0.0000 [1 per cell]
Be2 0.5000 0.0000 0.5000 [1 per cell]
Tc1 0.0000 0.5000 0.5000 [1 per cell]
Os1 0.5000 0.5000 0.0000 [1 per cell]

- V: 47 Å³/cell
- M_tot: 0.00 μB/atom

B:
DFT (PBE) results for Be2TcOs after structural relaxation.

Cell lengths 5.6282, 5.6282, 5.6282 Å; angles 90.00, 90.00, 90.00 degrees
Space group Fm-3m (No. 225)
One atom of each set of equivalent atoms:
Be1 0.2500 0.2500 0.2500 [8 per cell]
Tc1 0.0000 0.0000 0.0000 [4 per cell]
Os1 0.0000 0.0000 0.5000 [4 per cell]

- V: 178 Å³/cell
- M_tot: 0.00 μB/atom

Q: Which of them is the most stable? A: B.